## Na3ZrRh (PBE-GGA)

Data for a geometry-optimized Na3ZrRh structure.

Results
The formation energy from the elements is 1.88 eV per atom. For the total energy, the calculation gives -2.09 eV/atom. The calculation puts the relative energy among the computed polymorphs at 0.7647 eV/atom.

```
Na3ZrRh
1.0
5.739 0.000 0.000
0.000 5.739 0.000
0.000 0.000 5.739
Na Zr Rh
3 1 1
Direct
0.000 0.000 0.500 Na
0.000 0.500 0.000 Na
0.500 0.000 0.000 Na
0.000 0.000 0.000 Zr
0.500 0.500 0.500 Rh
```

## TcNiB2 (PBE-GGA)

Data for a geometry-optimized TcNiB2 structure.

Results
The formation energy from the elements is 0.24 eV per atom. For the total energy, the calculation gives -7.14 eV/atom. The calculation puts the relative energy among the computed polymorphs at 0.4869 eV/atom.

```
TcNiB2
1.0
-2.749 2.749 2.649
2.749 -2.749 2.649
2.749 2.749 -2.649
Tc Ni B
2 2 4
Direct
0.000 0.000 0.000 Tc
0.750 0.250 0.500 Tc
0.250 0.750 0.500 Ni
0.500 0.500 0.000 Ni
0.148 0.125 0.523 B
0.375 0.852 0.977 B
0.602 0.625 0.477 B
0.875 0.398 0.023 B
```

## LiAlFeSn (PBE-GGA)

Data for a geometry-optimized LiAlFeSn structure.

Results
The formation energy from the elements is -0.09 eV per atom. For the total energy, the calculation gives -4.62 eV/atom.

```
LiAlFeSn
1.0
0.000 3.077 3.077
3.077 0.000 3.077
3.077 3.077 0.000
Li Al Fe Sn
1 1 1 1
Direct
0.000 0.000 0.000 Li
0.250 0.250 0.250 Al
0.500 0.500 0.500 Fe
0.750 0.750 0.750 Sn
```

## Th6Ru2PtSe3 (PBE-GGA)

Data for a geometry-optimized Th6Ru2PtSe3 structure.

Results
Its raw formation energy is -1.17 eV/atom. For the total energy, the calculation gives -7.80 eV/atom.

```
Th6Ru2PtSe3
1.0
9.450 -2.060 0.000
9.450 2.060 0.000
-2.705 0.000 8.343
Th Ru Pt Se
6 2 1 3
Direct
0.011 0.011 0.240 Th
0.324 0.324 0.435 Th
0.336 0.336 0.892 Th
0.664 0.664 0.108 Th
0.676 0.676 0.565 Th
0.989 0.989 0.760 Th
0.167 0.167 0.333 Ru
0.833 0.833 0.667 Ru
0.500 0.500 0.000 Pt
0.165 0.165 0.835 Se
0.500 0.500 0.500 Se
0.835 0.835 0.165 Se
```

## Ge3HRh (PBE-GGA)

Data for a geometry-optimized Ge3HRh structure.

Results
For the total energy, the calculation gives -4.30 eV/atom. The calculation puts the relative energy among the computed polymorphs at 0.2668 eV/atom.

```
Ge3HRh
1.0
4.777 0.000 0.000
0.000 4.777 0.000
0.000 0.000 4.777
Ge H Rh
3 1 1
Direct
0.000 0.000 0.500 Ge
0.000 0.500 0.000 Ge
0.500 0.000 0.000 Ge
0.500 0.500 0.500 H
0.000 0.000 0.000 Rh
```

## La6Ir2N (PBE-GGA)

Data for a geometry-optimized La6Ir2N structure.

Results
Its raw formation energy is -0.72 eV/atom. For the total energy, the calculation gives -6.90 eV/atom.

```
La6Ir2N
1.0
6.691 0.000 0.000
0.000 7.427 0.000
-6.593 0.000 10.114
La Ir N
12 4 2
Direct
0.108 0.188 0.437 La
0.108 0.312 0.937 La
0.248 0.663 0.434 La
0.248 0.837 0.934 La
0.366 0.046 0.237 La
0.366 0.454 0.737 La
0.634 0.546 0.263 La
0.634 0.954 0.763 La
0.752 0.163 0.066 La
0.752 0.337 0.566 La
0.892 0.688 0.063 La
0.892 0.812 0.563 La
0.189 0.107 0.742 Ir
0.189 0.393 0.242 Ir
0.811 0.607 0.758 Ir
0.811 0.893 0.258 Ir
0.000 0.000 0.000 N
0.000 0.500 0.500 N
```

What are the N(E_F) values for these records? In order: 12.995, 4.535, 3.755, 9.117, 8.842, 19.030 states/eV per cell.